MgPAu | PBE-GGA | optimized geometry

The structure belongs to space group P-1 (No. 2); the cell edges are 4.3580, 4.3913 and 7.3350 Å and the angles 81.35°, 89.51° and 70.94°. The asymmetric unit holds Mg at (0.1415, 0.1614, 0.3213), P at (0.2095, 0.2225, 0.7129), Au at (0.5000, 0.0000, 0.0000) and Au at (0.5000, 0.5000, 0.5000).

The calculated total energy is -3.75 eV per atom. The calculation puts the density of states at the Fermi level at 0.0 states/eV per cell.


MgP2Au | PBE-GGA | optimized geometry

The structure belongs to space group Cmm2 (No. 35); the cell edges are 4.4571, 4.5811 and 7.1422 Å and the angles 90.00°, 90.00° and 90.00°. The asymmetric unit holds Mg at (0.0000, 0.0000, 0.0000), P at (0.0000, 0.0000, 0.3939), P at (0.0000, 0.5000, 0.2862) and Au at (0.0000, 0.5000, 0.7800).

The calculated total energy is -3.92 eV per atom. The calculation puts the density of states at the Fermi level at 2.5 states/eV per cell.


Mg3PAu | PBE-GGA | optimized geometry

The structure belongs to space group Pm-3m (No. 221); the cell edges are 5.0045, 5.0045 and 5.0045 Å and the angles 90.00°, 90.00° and 90.00°. The asymmetric unit holds Mg at (0.0000, 0.0000, 0.5000), P at (0.5000, 0.5000, 0.5000) and Au at (0.0000, 0.0000, 0.0000).

The calculated total energy is -2.56 eV per atom. The calculation puts the density of states at the Fermi level at 2.1 states/eV per cell. The energy above the most stable polymorph in this dataset comes out at 6.86 kcal/mol of atoms.


MgPAu | PBE-GGA | optimized geometry

The structure belongs to space group P1 (No. 1); the cell edges are 4.8031, 4.8410 and 5.1243 Å and the angles 88.08°, 87.76° and 89.06°. The asymmetric unit holds Mg at (0.0000, 0.0000, 0.0000), Mg at (0.3087, 0.3067, 0.5442), P at (0.2489, 0.4769, 0.0432), P at (0.8324, 0.0616, 0.4993), Au at (0.5196, 0.7880, 0.7689) and Au at (0.7618, 0.5425, 0.2668).

The calculated total energy is -3.73 eV per atom. The calculation puts the density of states at the Fermi level at 0.0 states/eV per cell.


MgP2Au | PBE-GGA | optimized geometry

The structure belongs to space group Cmmm (No. 65); the cell edges are 3.7919, 5.4293 and 7.0709 Å and the angles 90.00°, 90.00° and 90.00°. The asymmetric unit holds Mg at (0.0000, 0.0000, 0.0000), P at (0.0000, 0.5000, 0.2613) and Au at (0.0000, 0.0000, 0.5000).

The calculated total energy is -3.69 eV per atom. The calculation puts the density of states at the Fermi level at 4.3 states/eV per cell.


MgP2Au | PBE-GGA | optimized geometry

The structure belongs to space group F-43m (No. 216); the cell edges are 6.5033, 6.5033 and 6.5033 Å and the angles 90.00°, 90.00° and 90.00°. The asymmetric unit holds Mg at (0.0000, 0.0000, 0.0000), P at (0.0000, 0.0000, 0.5000), P at (0.2500, 0.2500, 0.2500) and Au at (0.2500, 0.2500, 0.7500).

The calculated total energy is -3.66 eV per atom. The calculation puts the density of states at the Fermi level at 13.7 states/eV per cell.


So what do the calculations give for calculated formation energy? Going down the list: -0.32 0.00 0.14 -0.31 0.23 0.26 eV/atom.